CeCoN | GGA-PBE | relaxed

Output
Raw formation energy: -0.562 eV per atom
DOS(E_F): 0.544 states/eV/atom

CIF file:
```
data_CeCoN
_chemical_formula_sum 'Ce1 Co1 N1'
_cell_length_a 3.6240
_cell_length_b 3.6240
_cell_length_c 3.4818
_cell_angle_alpha 90.00
_cell_angle_beta 90.00
_cell_angle_gamma 120.00
_symmetry_space_group_name_H-M 'P 3 m 1'
_symmetry_Int_Tables_number 156
_symmetry_space_group_name_Hall 'P 3 -2"'
loop_
_atom_site_label
_atom_site_type_symbol
_atom_site_fract_x
_atom_site_fract_y
_atom_site_fract_z
Ce1 Ce 0.0000 0.0000 0.0000
Co1 Co 0.6667 0.3333 0.4865
N1 N 0.3333 0.6667 0.5347
```